Entry from Alexandria: crystalline CuSnPCl2 at its relaxed geometry (PBE).

abc: 5.1713 5.1713 5.3026
angles: 90.00 90.00 90.00
With the nearest neighbours (Å) after each atom.
Fractional coordinates of all 5 atoms:
Cu  0.0000  0.0000  0.0000  4 P 3.66, 8 Cl 3.70
Sn  0.5000  0.5000  0.5000  4 Cl 2.59, 2 P 2.65
P  0.5000  0.5000  0.0000  2 Sn 2.65
Cl  0.0000  0.5000  0.5000  2 Sn 2.59
Cl  0.5000  0.0000  0.5000  2 Sn 2.59

Values from the calculation:
The calculation puts the uncorrected formation energy at 0.415 eV per atom. For the total energy, the calculation gives -15.13 eV per cell. As for the space-group type: P4/mmm (123). The calculation puts the excess energy over the best structure of this formula in the dataset at 37.5 kJ per mole of atoms. For the size of the total moment, the calculation gives 0.9 μB/f.u. As for the density of states at the Fermi level: 1.552 states/eV/cell.



Entry from Alexandria: crystalline LaRuPb at its relaxed geometry (PBE).

abc: 6.5879 6.5879 6.5879
angles: 149.76 149.76 43.30
With the nearest neighbours (Å) after each atom.
Fractional coordinates of all 3 atoms:
La  0.0000  0.0000  0.0000  4 Ru 3.05
Ru  0.3493  0.3493  0.0000  4 Pb 2.90, 4 La 3.05
Pb  0.7201  0.7201  0.0000  4 Ru 2.90

Values from the calculation:
For the total energy, the calculation gives -18.27 eV per cell. As for the space-group type: I4mm (107). For the size of the total moment, the calculation gives 0.0 μB/f.u. As for the density of states at the Fermi level: 2.193 states/eV/cell.